# Na2LaTbSe4, relaxed, DFT GGA-PBE
# magnetic moment: 0.000 μB per atom
# formation energy without anion corrections: -1.725 eV/atom
data_Na2LaTbSe4
_cell_length_a 7.405
_cell_length_b 4.273
_cell_length_c 7.415
_cell_angle_alpha 90.00
_cell_angle_beta 109.47
_cell_angle_gamma 90.00
_space_group_name_H-M_alt 'P 1 2/m 1'
_space_group_IT_number 10
loop_
_space_group_symop_operation_xyz
'x,y,z'
'-x,-y,-z'
'-x,y,-z'
'x,-y,z'
loop_
_atom_site_label
_atom_site_type_symbol
_atom_site_fract_x
_atom_site_fract_y
_atom_site_fract_z
_atom_site_occupancy
Na1 Na 0.000 0.000 0.000 1
Na2 Na 0.500 0.500 0.000 1
La1 La 0.000 0.500 0.500 1
Tb1 Tb 0.500 0.000 0.500 1
Se1 Se 0.255 0.000 0.736 1
Se2 Se 0.265 0.500 0.268 1



# NaLa2TbSe4, relaxed, DFT GGA-PBE
# magnetic moment: 0.000 μB per atom
# formation energy without anion corrections: -1.820 eV/atom
data_NaLa2TbSe4
_cell_length_a 7.291
_cell_length_b 4.240
_cell_length_c 7.390
_cell_angle_alpha 90.00
_cell_angle_beta 109.43
_cell_angle_gamma 90.00
_space_group_name_H-M_alt 'P 1 2/m 1'
_space_group_IT_number 10
loop_
_space_group_symop_operation_xyz
'x,y,z'
'-x,-y,-z'
'-x,y,-z'
'x,-y,z'
loop_
_atom_site_label
_atom_site_type_symbol
_atom_site_fract_x
_atom_site_fract_y
_atom_site_fract_z
_atom_site_occupancy
Na1 Na 0.000 0.000 0.000 1
La1 La 0.500 0.000 0.500 1
La2 La 0.500 0.500 0.000 1
Tb1 Tb 0.000 0.500 0.500 1
Se1 Se 0.236 0.000 0.743 1
Se2 Se 0.241 0.500 0.252 1



# NaLaTeSe, relaxed, DFT GGA-PBE
# magnetic moment: 0.000 μB per atom
# formation energy without anion corrections: -1.573 eV/atom
data_NaLaTeSe
_cell_length_a 4.5086
_cell_length_b 4.5086
_cell_length_c 21.7728
_cell_angle_alpha 90.00
_cell_angle_beta 90.00
_cell_angle_gamma 120.00
_space_group_name_H-M_alt 'R 3 m'
_space_group_IT_number 160
_space_group_name_Hall 'R 3 -2"'
loop_
_atom_site_label
_atom_site_type_symbol
_atom_site_fract_x
_atom_site_fract_y
_atom_site_fract_z
_atom_site_occupancy
Na1 Na 0.0000 0.0000 0.0000 1
La1 La 0.0000 0.0000 0.5101 1
Te1 Te 0.0000 0.0000 0.7555 1
Se1 Se 0.0000 0.0000 0.2479 1



# NaLa2Th3Se6, relaxed, DFT GGA-PBE
# magnetic moment: 0.000 μB per atom
# formation energy without anion corrections: -1.675 eV/atom
data_NaLa2Th3Se6
_cell_length_a 18.610
_cell_length_b 4.215
_cell_length_c 8.561
_cell_angle_alpha 90.00
_cell_angle_beta 104.96
_cell_angle_gamma 90.00
_space_group_name_H-M_alt 'C 1 2/m 1'
_space_group_IT_number 12
loop_
_space_group_symop_operation_xyz
'x,y,z'
'-x,-y,-z'
'-x,y,-z'
'x,-y,z'
'x+1/2,y+1/2,z'
'-x+1/2,-y+1/2,-z'
'-x+1/2,y+1/2,-z'
'x+1/2,-y+1/2,z'
loop_
_atom_site_label
_atom_site_type_symbol
_atom_site_fract_x
_atom_site_fract_y
_atom_site_fract_z
_atom_site_occupancy
Na1 Na 0.000 0.000 0.000 1
La1 La 0.168 0.500 0.332 1
Th1 Th 0.000 0.000 0.500 1
Th2 Th 0.169 0.500 0.829 1
Se1 Se 0.003 0.500 0.753 1
Se2 Se 0.163 0.000 0.072 1
Se3 Se 0.165 0.000 0.581 1



# NaLa4Th3Se8, relaxed, DFT GGA-PBE
# magnetic moment: 0.000 μB per atom
# formation energy without anion corrections: -1.756 eV/atom
data_NaLa4Th3Se8
_cell_length_a 8.5154
_cell_length_b 8.5154
_cell_length_c 20.8464
_cell_angle_alpha 90.00
_cell_angle_beta 90.00
_cell_angle_gamma 120.00
_space_group_name_H-M_alt 'R -3 m'
_space_group_IT_number 166
_space_group_name_Hall '-R 3 2"'
loop_
_atom_site_label
_atom_site_type_symbol
_atom_site_fract_x
_atom_site_fract_y
_atom_site_fract_z
_atom_site_occupancy
Na1 Na 0.0000 0.0000 0.0000 1
La1 La 0.0000 0.0000 0.5000 1
La2 La 0.0000 0.5000 0.5000 1
Th1 Th 0.0000 0.5000 0.0000 1
Se1 Se 0.0000 0.0000 0.2516 1
Se2 Se 0.0039 0.5019 0.7466 1



# NaLa2ThSe4, relaxed, DFT GGA-PBE
# magnetic moment: 0.000 μB per atom
# formation energy without anion corrections: -1.744 eV/atom
data_NaLa2ThSe4
_cell_length_a 7.340
_cell_length_b 4.253
_cell_length_c 7.444
_cell_angle_alpha 90.00
_cell_angle_beta 109.14
_cell_angle_gamma 90.00
_space_group_name_H-M_alt 'P 1 2/m 1'
_space_group_IT_number 10
loop_
_space_group_symop_operation_xyz
'x,y,z'
'-x,-y,-z'
'-x,y,-z'
'x,-y,z'
loop_
_atom_site_label
_atom_site_type_symbol
_atom_site_fract_x
_atom_site_fract_y
_atom_site_fract_z
_atom_site_occupancy
Na1 Na 0.000 0.000 0.000 1
La1 La 0.500 0.000 0.500 1
La2 La 0.500 0.500 0.000 1
Th1 Th 0.000 0.500 0.500 1
Se1 Se 0.240 0.000 0.751 1
Se2 Se 0.242 0.500 0.249 1



# Na4La3TiSe8, relaxed, DFT GGA-PBE
# magnetic moment: 0.063 μB per atom
# formation energy without anion corrections: -1.553 eV/atom
data_Na4La3TiSe8
_cell_length_a 8.4883
_cell_length_b 8.4883
_cell_length_c 20.9646
_cell_angle_alpha 90.00
_cell_angle_beta 90.00
_cell_angle_gamma 120.00
_space_group_name_H-M_alt 'R -3 m'
_space_group_IT_number 166
_space_group_name_Hall '-R 3 2"'
loop_
_atom_site_label
_atom_site_type_symbol
_atom_site_fract_x
_atom_site_fract_y
_atom_site_fract_z
_atom_site_occupancy
Na1 Na 0.0000 0.0000 0.0000 1
Na2 Na 0.0000 0.5000 0.0000 1
La1 La 0.0000 0.5000 0.5000 1
Ti1 Ti 0.0000 0.0000 0.5000 1
Se1 Se 0.0000 0.0000 0.2477 1
Se2 Se 0.0280 0.5140 0.2420 1



# Na3La2TiSe6, relaxed, DFT GGA-PBE
# magnetic moment: 0.083 μB per atom
# formation energy without anion corrections: -1.505 eV/atom
data_Na3La2TiSe6
_cell_length_a 7.284
_cell_length_b 12.564
_cell_length_c 7.396
_cell_angle_alpha 90.00
_cell_angle_beta 109.14
_cell_angle_gamma 90.00
_space_group_name_H-M_alt 'C 1 2/m 1'
_space_group_IT_number 12
loop_
_space_group_symop_operation_xyz
'x,y,z'
'-x,-y,-z'
'-x,y,-z'
'x,-y,z'
'x+1/2,y+1/2,z'
'-x+1/2,-y+1/2,-z'
'-x+1/2,y+1/2,-z'
'x+1/2,-y+1/2,z'
loop_
_atom_site_label
_atom_site_type_symbol
_atom_site_fract_x
_atom_site_fract_y
_atom_site_fract_z
_atom_site_occupancy
Na1 Na 0.000 0.000 0.000 1
Na2 Na 0.000 0.332 0.000 1
La1 La 0.000 0.168 0.500 1
Ti1 Ti 0.000 0.500 0.500 1
Se1 Se 0.225 0.500 0.278 1
Se2 Se 0.231 0.348 0.731 1



# NaLaTlSe2, relaxed, DFT GGA-PBE
# magnetic moment: 0.000 μB per atom
# formation energy without anion corrections: 0.074 eV/atom
data_NaLaTlSe2
_cell_length_a 5.708
_cell_length_b 5.708
_cell_length_c 5.757
_cell_angle_alpha 90.00
_cell_angle_beta 90.00
_cell_angle_gamma 90.00
_space_group_name_H-M_alt 'P 4/m m m'
_space_group_IT_number 123
_space_group_name_Hall '-P 4 2'
loop_
_atom_site_label
_atom_site_type_symbol
_atom_site_fract_x
_atom_site_fract_y
_atom_site_fract_z
_atom_site_occupancy
Na1 Na 0.000 0.000 0.000 1
La1 La 0.500 0.500 0.000 1
Tl1 Tl 0.500 0.500 0.500 1
Se1 Se 0.000 0.500 0.500 1



# NaLa3Tm3Se8, relaxed, DFT GGA-PBE
# magnetic moment: 0.000 μB per atom
# formation energy without anion corrections: -1.829 eV/atom
data_NaLa3Tm3Se8
_cell_length_a 8.2555
_cell_length_b 8.2555
_cell_length_c 20.5624
_cell_angle_alpha 90.00
_cell_angle_beta 90.00
_cell_angle_gamma 120.00
_space_group_name_H-M_alt 'R -3 m'
_space_group_IT_number 166
_space_group_name_Hall '-R 3 2"'
loop_
_atom_site_label
_atom_site_type_symbol
_atom_site_fract_x
_atom_site_fract_y
_atom_site_fract_z
_atom_site_occupancy
Na1 Na 0.0000 0.0000 0.0000 1
La1 La 0.0000 0.5000 0.5000 1
Tm1 Tm 0.0000 0.5000 0.0000 1
Se1 Se 0.0000 0.0000 0.2573 1
Se2 Se 0.0129 0.5065 0.2540 1



# Na3LaTm2Se6, relaxed, DFT GGA-PBE
# magnetic moment: 0.000 μB per atom
# formation energy without anion corrections: -1.711 eV/atom
data_Na3LaTm2Se6
_cell_length_a 7.257
_cell_length_b 12.575
_cell_length_c 7.411
_cell_angle_alpha 90.00
_cell_angle_beta 109.13
_cell_angle_gamma 90.00
_space_group_name_H-M_alt 'C 1 2/m 1'
_space_group_IT_number 12
loop_
_space_group_symop_operation_xyz
'x,y,z'
'-x,-y,-z'
'-x,y,-z'
'x,-y,z'
'x+1/2,y+1/2,z'
'-x+1/2,-y+1/2,-z'
'-x+1/2,y+1/2,-z'
'x+1/2,-y+1/2,z'
loop_
_atom_site_label
_atom_site_type_symbol
_atom_site_fract_x
_atom_site_fract_y
_atom_site_fract_z
_atom_site_occupancy
Na1 Na 0.000 0.000 0.000 1
Na2 Na 0.000 0.335 0.000 1
La1 La 0.000 0.500 0.500 1
Tm1 Tm 0.000 0.167 0.500 1
Se1 Se 0.229 0.000 0.731 1
Se2 Se 0.249 0.174 0.271 1